A plane-wave DFT calculation with PBE-GGA was carried out for AcSm3Hg after structural relaxation.

Cell lengths 9.004, 9.004, 7.044 Å; angles 88.12, 119.73, 129.62 degrees
Element x y z (fractional)
Sm: 0.262 0.910 0.679
Sm: 0.768 0.417 0.679
Sm: 0.232 0.583 0.321
Sm: 0.312 0.561 0.874
Sm: 0.688 0.439 0.126
Sm: 0.738 0.090 0.321
Hg: 0.728 0.729 0.458
Hg: 0.272 0.271 0.542
Ac: 0.182 0.946 0.128
Ac: 0.818 0.054 0.872

Formation enthalpy at 0 K ... -0.08 eV per atom
Total moment ... 0.00 μB per cell
Calculated total energy ... -3.792 eV/atom

---

A plane-wave DFT calculation with PBE-GGA was carried out for Ac4SmHg after structural relaxation.

Cell lengths 3.970, 3.970, 14.912 Å; angles 90.00, 90.00, 90.00 degrees
Element x y z (fractional)
Ac: 0.500 0.500 0.171
Ac: 0.500 0.500 0.829
Ac: 0.000 0.000 0.361
Ac: 0.000 0.000 0.639
Hg: 0.500 0.500 0.500
Sm: 0.000 0.000 0.000

Formation enthalpy at 0 K ... -0.14 eV per atom
Total moment ... 0.00 μB per cell
Polymorph energy (0 for the lowest one) ... 0 kJ/mol of formula units
Calculated total energy ... -3.714 eV/atom

---

A plane-wave DFT calculation with PBE-GGA was carried out for Ac3SmHg after structural relaxation.

Cell lengths 7.867, 7.867, 8.602 Å; angles 101.54, 119.36, 104.20 degrees
Element x y z (fractional)
Ac: 0.738 0.456 0.194
Ac: 0.191 0.017 0.795
Ac: 0.809 0.983 0.205
Ac: 0.779 0.604 0.795
Ac: 0.262 0.544 0.806
Ac: 0.221 0.396 0.205
Sm: 0.686 0.076 0.762
Sm: 0.314 0.924 0.238
Hg: 0.664 0.778 0.442
Hg: 0.336 0.222 0.558

Formation enthalpy at 0 K ... -0.02 eV per atom
Total moment ... 0.00 μB per cell
Polymorph energy (0 for the lowest one) ... 31 kJ/mol of formula units
Calculated total energy ... -3.488 eV/atom

---

A plane-wave DFT calculation with PBE-GGA was carried out for AcSm5Hg6 after structural relaxation.

Cell lengths 5.405, 7.712, 8.586 Å; angles 90.00, 108.46, 90.00 degrees
Last column: magnetic moment on the atom in μB.
Element x y z (fractional)
Hg: 0.171 0.741 0.345  0.02
Hg: 0.171 0.259 0.345  0.02
Hg: 0.829 0.741 0.655  0.02
Hg: 0.500 0.263 0.000  0.02
Hg: 0.500 0.737 0.000  0.02
Hg: 0.829 0.259 0.655  0.02
Sm: 0.663 0.500 0.329  0.16
Sm: 0.337 0.500 0.671  0.16
Sm: 0.668 0.000 0.337  0.20
Sm: 0.000 0.500 0.000  0.20
Sm: 0.332 0.000 0.663  0.20
Ac: 0.000 0.000 0.000  0.12

Formation enthalpy at 0 K ... -0.46 eV per atom
Total moment ... 2.27 μB per cell
Calculated total energy ... -2.920 eV/atom

---

A plane-wave DFT calculation with PBE-GGA was carried out for AcSm2Hg2 after structural relaxation.

Cell lengths 3.870, 3.929, 10.792 Å; angles 79.51, 90.00, 90.00 degrees
Last column: magnetic moment on the atom in μB.
Element x y z (fractional)
Sm: 0.000 0.180 0.640  0.17
Sm: 0.000 0.820 0.360  0.17
Ac: 0.000 0.000 0.000  0.09
Hg: 0.500 0.397 0.207  0.01
Hg: 0.500 0.603 0.793  0.01

Formation enthalpy at 0 K ... -0.26 eV per atom
Total moment ... 0.93 μB per cell
Polymorph energy (0 for the lowest one) ... 0 kJ/mol of formula units
Calculated total energy ... -3.095 eV/atom

---

A plane-wave DFT calculation with PBE-GGA was carried out for Ac2SmHg6 after structural relaxation.

Cell lengths 3.809, 8.787, 8.787 Å; angles 120.00, 90.00, 90.00 degrees
Element x y z (fractional)
Hg: 0.500 0.671 0.671
Hg: 0.500 0.671 0.000
Hg: 0.500 0.000 0.671
Hg: 0.500 0.000 0.329
Hg: 0.500 0.329 0.329
Hg: 0.500 0.329 0.000
Ac: 0.000 0.333 0.667
Ac: 0.000 0.667 0.333
Sm: 0.000 0.000 0.000

Formation enthalpy at 0 K ... -0.44 eV per atom
Total moment ... 0.00 μB per cell
Calculated total energy ... -2.076 eV/atom

---

A plane-wave DFT calculation with PBE-GGA was carried out for Ac2Sm3Hg4 after structural relaxation.

Cell lengths 8.427, 9.250, 7.775 Å; angles 90.00, 90.00, 110.56 degrees
Element x y z (fractional)
Ac: 0.937 0.808 0.831
Ac: 0.063 0.192 0.169
Ac: 0.563 0.192 0.331
Ac: 0.437 0.808 0.669
Hg: 0.136 0.497 0.875
Hg: 0.653 0.928 0.049
Hg: 0.847 0.072 0.549
Hg: 0.636 0.497 0.625
Hg: 0.153 0.928 0.451
Hg: 0.864 0.503 0.125
Hg: 0.347 0.072 0.951
Hg: 0.364 0.503 0.375
Sm: 0.270 0.758 0.160
Sm: 0.000 0.500 0.500
Sm: 0.730 0.242 0.840
Sm: 0.770 0.758 0.340
Sm: 0.500 0.500 0.000
Sm: 0.230 0.242 0.660

Formation enthalpy at 0 K ... -0.40 eV per atom
Total moment ... 0.00 μB per cell
Polymorph energy (0 for the lowest one) ... 0 kJ/mol of formula units
Calculated total energy ... -3.021 eV/atom

---

A plane-wave DFT calculation with PBE-GGA was carried out for Ac3SmHg2 after structural relaxation.

Cell lengths 7.890, 8.027, 9.502 Å; angles 114.99, 114.53, 90.00 degrees
Element x y z (fractional)
Hg: 0.154 0.864 0.729
Hg: 0.426 0.636 0.271
Hg: 0.846 0.136 0.271
Hg: 0.574 0.364 0.729
Ac: 0.226 0.476 0.453
Ac: 0.500 0.250 0.000
Ac: 0.226 0.976 0.453
Ac: 0.500 0.750 0.000
Ac: 0.774 0.024 0.547
Ac: 0.774 0.524 0.547
Sm: 0.000 0.000 0.000
Sm: 0.000 0.500 0.000

Formation enthalpy at 0 K ... -0.09 eV per atom
Total moment ... 0.00 μB per cell
Polymorph energy (0 for the lowest one) ... 111 kJ/mol of formula units
Calculated total energy ... -3.035 eV/atom

---

A plane-wave DFT calculation with PBE-GGA was carried out for AcSmHg after structural relaxation.

Cell lengths 10.125, 9.328, 9.328 Å; angles 107.68, 111.21, 111.21 degrees
Element x y z (fractional)
Sm: 0.478 0.275 0.889
Sm: 0.203 0.613 0.725
Sm: 0.522 0.725 0.111
Sm: 0.590 0.111 0.387
Sm: 0.797 0.387 0.275
Sm: 0.410 0.889 0.613
Hg: 0.857 0.507 0.665
Hg: 0.143 0.493 0.335
Hg: 0.350 0.158 0.493
Hg: 0.808 0.665 0.158
Hg: 0.192 0.335 0.842
Hg: 0.650 0.842 0.507
Ac: 0.988 0.123 0.368
Ac: 0.620 0.632 0.754
Ac: 0.866 0.246 0.877
Ac: 0.134 0.754 0.123
Ac: 0.012 0.877 0.632
Ac: 0.380 0.368 0.246

Formation enthalpy at 0 K ... -0.10 eV per atom
Total moment ... 0.00 μB per cell
Polymorph energy (0 for the lowest one) ... 62 kJ/mol of formula units
Calculated total energy ... -3.141 eV/atom

---

A plane-wave DFT calculation with PBE-GGA was carried out for AcSm4Hg after structural relaxation.

Cell lengths 3.747, 3.747, 14.281 Å; angles 90.00, 90.00, 90.00 degrees
Element x y z (fractional)
Ac: 0.000 0.000 0.000
Sm: 0.500 0.500 0.810
Sm: 0.500 0.500 0.190
Sm: 0.000 0.000 0.637
Sm: 0.000 0.000 0.363
Hg: 0.500 0.500 0.500

Formation enthalpy at 0 K ... -0.13 eV per atom
Total moment ... 0.00 μB per cell
Polymorph energy (0 for the lowest one) ... 0 kJ/mol of formula units
Calculated total energy ... -4.015 eV/atom

---

A plane-wave DFT calculation with PBE-GGA was carried out for AcSm3Hg2 after structural relaxation.

Cell lengths 5.495, 9.791, 9.097 Å; angles 123.83, 90.00, 106.30 degrees
Element x y z (fractional)
Sm: 0.382 0.763 0.286
Sm: 0.618 0.237 0.714
Sm: 0.302 0.604 0.605
Sm: 0.934 0.869 0.590
Sm: 0.698 0.396 0.395
Sm: 0.066 0.131 0.410
Hg: 0.500 0.001 0.163
Hg: 0.500 0.999 0.837
Hg: 0.224 0.449 0.841
Hg: 0.776 0.551 0.159
Ac: 0.870 0.741 0.929
Ac: 0.130 0.259 0.071

Formation enthalpy at 0 K ... -0.26 eV per atom
Total moment ... 0.00 μB per cell
Polymorph energy (0 for the lowest one) ... 27 kJ/mol of formula units
Calculated total energy ... -3.405 eV/atom

---

A plane-wave DFT calculation with PBE-GGA was carried out for AcSm2Hg2 after structural relaxation.

Cell lengths 5.476, 5.476, 6.459 Å; angles 90.00, 90.00, 120.00 degrees
Last column: magnetic moment on the atom in μB.
Element x y z (fractional)
Hg: 0.667 0.333 0.820  0.01
Hg: 0.333 0.667 0.180  0.01
Sm: 0.333 0.667 0.659  0.18
Sm: 0.667 0.333 0.341  0.18
Ac: 0.000 0.000 0.000  0.06

Formation enthalpy at 0 K ... -0.22 eV per atom
Total moment ... 0.88 μB per cell
Polymorph energy (0 for the lowest one) ... 22 kJ/mol of formula units
Calculated total energy ... -3.050 eV/atom

---

A plane-wave DFT calculation with PBE-GGA was carried out for Ac2SmHg3 after structural relaxation.

Cell lengths 3.949, 3.949, 11.968 Å; angles 90.00, 90.00, 90.00 degrees
Last column: magnetic moment on the atom in μB.
Element x y z (fractional)
Ac: 0.500 0.500 0.175  0.11
Ac: 0.500 0.500 0.825  0.11
Hg: 0.000 0.000 0.354  0.01
Hg: 0.000 0.000 0.000  0.01
Hg: 0.000 0.000 0.646  0.01
Sm: 0.500 0.500 0.500  0.13

Formation enthalpy at 0 K ... -0.46 eV per atom
Total moment ... 0.88 μB per cell
Calculated total energy ... -2.769 eV/atom

---

A plane-wave DFT calculation with PBE-GGA was carried out for Ac3SmHg6 after structural relaxation.

Cell lengths 5.441, 9.894, 11.903 Å; angles 109.03, 90.00, 90.00 degrees
Element x y z (fractional)
Ac: 0.750 0.221 0.011
Ac: 0.250 0.508 0.380
Ac: 0.250 0.346 0.782
Ac: 0.750 0.492 0.620
Ac: 0.250 0.779 0.989
Ac: 0.750 0.654 0.218
Hg: 0.250 0.144 0.180
Hg: 0.750 0.531 0.918
Hg: 0.750 0.132 0.691
Hg: 0.250 0.868 0.309
Hg: 0.250 0.049 0.874
Hg: 0.750 0.951 0.126
Hg: 0.250 0.680 0.694
Hg: 0.750 0.320 0.306
Hg: 0.750 0.767 0.512
Hg: 0.250 0.233 0.488
Hg: 0.750 0.856 0.820
Hg: 0.250 0.469 0.082
Sm: 0.750 0.061 0.406
Sm: 0.250 0.939 0.594

Formation enthalpy at 0 K ... -0.43 eV per atom
Total moment ... 0.00 μB per cell
Polymorph energy (0 for the lowest one) ... 0 kJ/mol of formula units
Calculated total energy ... -2.313 eV/atom

---

A plane-wave DFT calculation with PBE-GGA was carried out for Ac3SmHg after structural relaxation.

Cell lengths 3.916, 8.466, 12.291 Å; angles 102.81, 99.17, 90.00 degrees
Element x y z (fractional)
Ac: 0.013 0.252 0.025
Ac: 0.825 0.525 0.651
Ac: 0.621 0.027 0.241
Ac: 0.175 0.475 0.349
Ac: 0.987 0.748 0.975
Ac: 0.379 0.973 0.759
Sm: 0.745 0.834 0.491
Sm: 0.255 0.166 0.509
Hg: 0.419 0.395 0.838
Hg: 0.581 0.605 0.162

Formation enthalpy at 0 K ... -0.08 eV per atom
Total moment ... 0.00 μB per cell
Polymorph energy (0 for the lowest one) ... 0 kJ/mol of formula units
Calculated total energy ... -3.552 eV/atom

---

A plane-wave DFT calculation with PBE-GGA was carried out for Ac2SmHg10 after structural relaxation.

Cell lengths 5.890, 13.357, 11.098 Å; angles 90.00, 90.00, 90.00 degrees
Element x y z (fractional)
Hg: 0.000 0.682 0.689
Hg: 0.743 0.691 0.404
Hg: 0.000 0.386 0.032
Hg: 0.257 0.191 0.096
Hg: 0.000 0.886 0.468
Hg: 0.000 0.318 0.311
Hg: 0.743 0.809 0.904
Hg: 0.000 0.114 0.532
Hg: 0.000 0.040 0.275
Hg: 0.257 0.309 0.596
Hg: 0.743 0.191 0.096
Hg: 0.743 0.309 0.596
Hg: 0.000 0.460 0.775
Hg: 0.257 0.691 0.404
Hg: 0.000 0.614 0.968
Hg: 0.000 0.540 0.225
Hg: 0.000 0.818 0.189
Hg: 0.000 0.960 0.725
Hg: 0.257 0.809 0.904
Hg: 0.000 0.182 0.811
Sm: 0.000 0.000 0.000
Sm: 0.000 0.500 0.500
Ac: 0.500 0.328 0.873
Ac: 0.500 0.672 0.127
Ac: 0.500 0.172 0.373
Ac: 0.500 0.828 0.627

Formation enthalpy at 0 K ... -0.10 eV per atom
Total moment ... 0.00 μB per cell
Calculated total energy ... -1.328 eV/atom

---

A plane-wave DFT calculation with PBE-GGA was carried out for AcSm6Hg2 after structural relaxation.

Cell lengths 5.492, 10.995, 10.996 Å; angles 63.23, 90.01, 90.01 degrees
Element x y z (fractional)
Sm: 0.250 0.005 0.196
Sm: 0.750 0.995 0.804
Sm: 0.250 0.890 0.657
Sm: 0.750 0.657 0.890
Sm: 0.250 0.509 0.311
Sm: 0.250 0.343 0.110
Sm: 0.750 0.110 0.343
Sm: 0.750 0.311 0.509
Sm: 0.250 0.804 0.995
Sm: 0.250 0.689 0.491
Sm: 0.750 0.196 0.005
Sm: 0.750 0.491 0.689
Hg: 0.250 0.191 0.444
Hg: 0.750 0.809 0.556
Hg: 0.250 0.555 0.809
Hg: 0.750 0.445 0.191
Ac: 0.750 0.772 0.228
Ac: 0.250 0.228 0.772

Formation enthalpy at 0 K ... -0.09 eV per atom
Total moment ... 0.00 μB per cell
Polymorph energy (0 for the lowest one) ... 91 kJ/mol of formula units
Calculated total energy ... -3.761 eV/atom

---

A plane-wave DFT calculation with PBE-GGA was carried out for AcSm3Hg3 after structural relaxation.

Cell lengths 9.635, 9.635, 7.950 Å; angles 52.70, 52.70, 60.00 degrees
Element x y z (fractional)
Hg: 0.114 0.657 0.773
Hg: 0.544 0.886 0.227
Hg: 0.343 0.544 0.227
Hg: 0.886 0.343 0.227
Hg: 0.456 0.114 0.773
Hg: 0.657 0.456 0.773
Sm: 0.909 0.681 0.263
Sm: 0.147 0.909 0.263
Sm: 0.091 0.319 0.737
Sm: 0.319 0.853 0.737
Sm: 0.853 0.091 0.737
Sm: 0.681 0.147 0.263
Ac: 0.285 0.285 0.146
Ac: 0.715 0.715 0.854

Formation enthalpy at 0 K ... -0.23 eV per atom
Total moment ... 0.00 μB per cell
Calculated total energy ... -2.967 eV/atom

---

A plane-wave DFT calculation with PBE-GGA was carried out for AcSm3Hg2 after structural relaxation.

Cell lengths 3.807, 3.807, 12.811 Å; angles 90.00, 90.00, 90.00 degrees
Last column: magnetic moment on the atom in μB.
Element x y z (fractional)
Ac: 0.500 0.500 0.500  0.01
Sm: 0.000 0.000 0.000  0.13
Sm: 0.000 0.000 0.707  0.03
Sm: 0.000 0.000 0.293  0.03
Hg: 0.500 0.500 0.851  0.01
Hg: 0.500 0.500 0.149  0.01

Formation enthalpy at 0 K ... -0.31 eV per atom
Total moment ... 0.40 μB per cell
Polymorph energy (0 for the lowest one) ... 0 kJ/mol of formula units
Calculated total energy ... -3.451 eV/atom

---

A plane-wave DFT calculation with PBE-GGA was carried out for AcSmHg after structural relaxation.

Cell lengths 3.904, 3.904, 7.144 Å; angles 105.86, 105.86, 90.00 degrees
Last column: magnetic moment on the atom in μB.
Element x y z (fractional)
Ac: 0.010 0.010 0.020  0.07
Hg: 0.681 0.681 0.363  0.00
Sm: 0.308 0.308 0.617  0.11

Formation enthalpy at 0 K ... -0.29 eV per atom
Total moment ... 0.43 μB per cell
Polymorph energy (0 for the lowest one) ... 5 kJ/mol of formula units
Calculated total energy ... -3.337 eV/atom